1.
Compound: Dy4V
Source: Alexandria
Functional: PBE
Structure: optimized geometry

Output
- Magnetization: 0.96 μB per formula unit
- Mass density: 7.63 g/cm3
- ΔE_f: 0.445 eV/atom
- SG: Pm-3m, No. 221
- N(E_F): 1.47 states/eV per atom

```
Dy4V
1.0
-0.198 4.695 2.542
0.923 -2.476 4.644
5.259 0.612 -0.719
Dy V
4 1
Cartesian
0.000 0.000 0.000
2.530 2.653 0.912
3.091 -0.932 1.962
0.362 1.110 3.593
2.992 1.415 3.233
```

2.
Compound: Ca2CoGeTe
Source: Alexandria
Functional: PBE
Structure: optimized geometry

Output
- E above lowest polymorph: 181 meV/atom
- Magnetization: 1.84 μB per formula unit
- Mass density: 4.00 g/cm3
- SG: P4/mmm, No. 123
- Raw formation energy: -1.74 eV/f.u.
- N(E_F): 0.75 states/eV per atom

```
Ca2CoGeTe
1.0
-2.882 -1.594 -4.589
0.593 -4.240 1.100
-4.798 0.101 2.979
Ge Te Co Ca
1 1 1 2
Cartesian
0.000 0.000 0.000
-3.544 -2.866 -0.255
0.297 -2.120 0.550
-2.399 0.050 1.489
-1.441 -0.797 -2.294
```

3.
Compound: TbNd6Cd
Source: Alexandria
Functional: PBE
Structure: optimized geometry

Output
- E above lowest polymorph: 0 meV/atom
- Magnetization: 0.00 μB per formula unit
- Mass density: 7.21 g/cm3
- ΔE_f: -0.043 eV/atom
- SG: P4/mmm, No. 123
- N(E_F): 1.18 states/eV per atom

```
TbNd6Cd
1.0
-2.150 0.469 -4.536
3.552 -2.973 -1.990
-5.841 -8.259 1.914
Tb Nd Cd
1 6 1
Cartesian
-2.921 -4.130 0.957
0.701 -1.252 -3.263
-2.219 -5.382 -2.306
-2.504 -1.787 -1.800
-5.487 -6.004 -0.822
0.347 -3.508 -0.527
-2.636 -7.725 0.451
0.000 0.000 0.000
```

4.
Compound: Tc2AsPb
Source: Alexandria
Functional: PBE
Structure: optimized geometry

Output
- E above lowest polymorph: 0 meV/atom
- Magnetization: 0.00 μB per formula unit
- Mass density: 10.43 g/cm3
- ΔE_f: 0.138 eV/atom
- SG: P4mm, No. 99
- N(E_F): 0.65 states/eV per atom

```
Tc2AsPb
1.0
3.010 0.000 0.000
0.000 3.010 0.000
0.000 0.000 8.397
Pb As Tc
1 1 2
Cartesian
1.505 1.505 6.598
0.000 0.000 3.579
0.000 0.000 0.403
1.505 1.505 2.016
```

5.
Compound: YCoAg
Source: Alexandria
Functional: PBE
Structure: optimized geometry

Output
- Magnetization: 0.50 μB per formula unit
- Mass density: 6.72 g/cm3
- ΔE_f: 0.180 eV/atom
- SG: F-43m, No. 216
- N(E_F): 2.17 states/eV per atom

```
YCoAg
1.0
4.471 0.000 0.000
2.235 3.872 0.000
2.235 1.291 3.650
Ag Co Y
1 1 1
Cartesian
4.471 2.581 1.825
2.235 1.291 0.913
0.000 0.000 0.000
```

6.
Compound: Y2RuSe
Source: Alexandria
Functional: PBE
Structure: optimized geometry

Output
- Magnetization: 0.00 μB per formula unit
- Mass density: 6.84 g/cm3
- SG: P4/mmm, No. 123
- Raw formation energy: -3.77 eV/f.u.
- N(E_F): 0.24 states/eV per atom

```
Y2RuSe
1.0
3.473 0.023 0.000
-0.026 3.473 0.000
0.000 0.000 7.206
Y Ru Se
2 1 1
Cartesian
0.000 0.000 0.116
0.000 0.000 3.487
1.723 1.748 1.801
1.723 1.748 5.404
```